1.
Crystalline ZnCd2B2Rh5 at its relaxed geometry. Source: Alexandria via LeMat-Bulk, functional PBE.

abc: 2.9155 9.6413 9.6413
angles: 90.00 90.00 90.00
With the nearest neighbours (Å) after each atom.
Positions (direct):
Zn1 0.0000 0.0000 0.0000  8 Rh 2.65, 2 Zn 2.92
Zn2 0.0000 0.5000 0.5000  8 Rh 2.65, 2 Zn 2.92
Cd1 0.0000 0.6781 0.1781  3 B 2.67-2.97, 10 Rh 2.83-2.96, 2 Cd 2.92
Cd2 0.0000 0.3219 0.8219  3 B 2.67-2.97, 10 Rh 2.83-2.96, 2 Cd 2.92
Cd3 0.0000 0.1781 0.3219  3 B 2.67-2.97, 10 Rh 2.83-2.96, 2 Cd 2.92
Cd4 0.0000 0.8219 0.6781  3 B 2.67-2.97, 10 Rh 2.83-2.96, 2 Cd 2.92
B1 0.0000 0.1260 0.6260  6 Rh 2.16-2.25
B2 0.0000 0.8740 0.3740  6 Rh 2.16-2.25
B3 0.0000 0.6260 0.8740  6 Rh 2.16-2.25
B4 0.0000 0.3740 0.1260  6 Rh 2.16-2.25
Rh1 0.5000 0.2194 0.0685  2 B 2.16
Rh2 0.5000 0.7806 0.9315  2 B 2.16
Rh3 0.5000 0.0685 0.7806  2 B 2.16
Rh4 0.5000 0.7194 0.4315  2 B 2.16
Rh5 0.5000 0.9315 0.2194  2 B 2.16
Rh6 0.5000 0.2806 0.5685  2 B 2.16
Rh7 0.5000 0.5685 0.7194  2 B 2.16
Rh8 0.5000 0.4315 0.2806  2 B 2.16
Rh9 0.5000 0.5000 0.0000  4 B 2.25
Rh10 0.5000 0.0000 0.5000  4 B 2.25

Calculated values
* space-group type: P4/mbm (127)
* E_form: -357 meV per atom

***

2.
Crystalline Zr2CdB2Rh5 at its relaxed geometry. Source: Alexandria via LeMat-Bulk, functional PBE.

abc: 3.2068 9.4590 9.4590
angles: 90.00 90.00 90.00
With the nearest neighbours (Å) after each atom.
Positions (direct):
Zr1 0.0000 0.6764 0.1764  3 B 2.69-2.87, 10 Rh 2.85-2.99
Zr2 0.0000 0.3236 0.8236  3 B 2.69-2.87, 10 Rh 2.85-2.99
Zr3 0.0000 0.1764 0.3236  3 B 2.69-2.87, 10 Rh 2.85-2.99
Zr4 0.0000 0.8236 0.6764  3 B 2.69-2.87, 10 Rh 2.85-2.99
Cd1 0.0000 0.0000 0.0000  8 Rh 2.75
Cd2 0.0000 0.5000 0.5000  8 Rh 2.75
B1 0.0000 0.1227 0.6227  6 Rh 2.21-2.29
B2 0.0000 0.8773 0.3773  6 Rh 2.21-2.29
B3 0.0000 0.6227 0.8773  6 Rh 2.21-2.29
B4 0.0000 0.3773 0.1227  6 Rh 2.21-2.29
Rh1 0.5000 0.2251 0.0712  2 B 2.21
Rh2 0.5000 0.7749 0.9288  2 B 2.21
Rh3 0.5000 0.0712 0.7749  2 B 2.21
Rh4 0.5000 0.7251 0.4288  2 B 2.21
Rh5 0.5000 0.9288 0.2251  2 B 2.21
Rh6 0.5000 0.2749 0.5712  2 B 2.21
Rh7 0.5000 0.5712 0.7251  2 B 2.21
Rh8 0.5000 0.4288 0.2749  2 B 2.21
Rh9 0.5000 0.5000 0.0000  4 B 2.29
Rh10 0.5000 0.0000 0.5000  4 B 2.29

Calculated values
* space-group type: P4/mbm (127)
* E_form: -685 meV per atom

***

3.
Crystalline CdBRu2 at its relaxed geometry. Source: Alexandria via LeMat-Bulk, functional PBE.

abc: 4.2495 4.2495 4.2495
angles: 60.00 60.00 60.00
With the nearest neighbours (Å) after each atom.
Positions (direct):
Ru1 0.2500 0.2500 0.2500  4 Cd 2.60, 4 B 2.60
Ru2 0.7500 0.7500 0.7500  4 B 2.60, 4 Cd 2.60
B1 0.0000 0.0000 0.0000  8 Ru 2.60
Cd1 0.5000 0.5000 0.5000  8 Ru 2.60

Calculated values
* space-group type: Fm-3m (225)
* E_form: 827 meV per atom
* excess energy over the best structure of this formula in the dataset: 0 meV/atom

***

4.
Crystalline Cd3BRu at its relaxed geometry. Source: Alexandria via LeMat-Bulk, functional PBE.

abc: 5.1522 5.1522 5.1522
angles: 90.00 90.00 90.00
With the nearest neighbours (Å) after each atom.
Positions (direct):
Ru1 0.0000 0.0000 0.0000  6 Cd 2.58
B1 0.5000 0.5000 0.5000  12 Cd 3.64
Cd1 0.0000 0.5000 0.0000  2 Ru 2.58
Cd2 0.0000 0.0000 0.5000  2 Ru 2.58
Cd3 0.5000 0.0000 0.0000  2 Ru 2.58

Calculated values
* space-group type: Pm-3m (221)
* E_form: 1496 meV per atom
* excess energy over the best structure of this formula in the dataset: 584 meV/atom

***

5.
Crystalline Cd3BRu at its relaxed geometry. Source: Alexandria via LeMat-Bulk, functional PBE.

abc: 4.4766 4.4766 4.4766
angles: 90.00 90.00 90.00
With the nearest neighbours (Å) after each atom.
Positions (direct):
Ru1 0.5000 0.5000 0.5000  12 Cd 3.17
B1 0.0000 0.0000 0.0000  6 Cd 2.24
Cd1 0.0000 0.5000 0.0000  2 B 2.24
Cd2 0.0000 0.0000 0.5000  2 B 2.24
Cd3 0.5000 0.0000 0.0000  2 B 2.24

Calculated values
* space-group type: Pm-3m (221)
* E_form: 912 meV per atom
* excess energy over the best structure of this formula in the dataset: 0 meV/atom

***

6.
Crystalline Cd2BRu2 at its relaxed geometry. Source: Alexandria via LeMat-Bulk, functional PBE.

abc: 5.7245 5.7245 4.7089
angles: 90.00 90.00 90.00
With the nearest neighbours (Å) after each atom.
Positions (direct):
Ru1 0.3450 0.8450 0.0000  2 B 2.16
Ru2 0.8450 0.6550 0.0000  2 B 2.16
Ru3 0.6550 0.1550 0.0000  2 B 2.16
Ru4 0.1550 0.3450 0.0000  2 B 2.16
B1 0.0000 0.0000 0.0000  4 Ru 2.16
B2 0.5000 0.5000 0.0000  4 Ru 2.16
Cd1 0.1712 0.6712 0.5000  6 Ru 2.74-3.01, 5 Cd 2.77-3.00
Cd2 0.6712 0.8288 0.5000  6 Ru 2.74-3.01, 5 Cd 2.77-3.00
Cd3 0.8288 0.3288 0.5000  6 Ru 2.74-3.01, 5 Cd 2.77-3.00
Cd4 0.3288 0.1712 0.5000  6 Ru 2.74-3.01, 5 Cd 2.77-3.00

Calculated values
* space-group type: P4/mbm (127)
* E_form: 118 meV per atom
* excess energy over the best structure of this formula in the dataset: 0 meV/atom

***

7.
Crystalline Cd2BRu at its relaxed geometry. Source: Alexandria via LeMat-Bulk, functional PBE.

abc: 3.6574 3.6574 10.3319
angles: 79.81 79.81 90.00
With the nearest neighbours (Å) after each atom.
Positions (direct):
Ru1 0.0000 0.0000 0.0000  4 B 2.59, 4 Cd 2.82
Ru2 0.7500 0.2500 0.5000  4 B 2.59, 4 Cd 2.82
B1 0.5000 0.5000 0.0000  4 Ru 2.59, 4 Cd 2.81
B2 0.2500 0.7500 0.5000  4 Ru 2.59, 4 Cd 2.81
Cd1 0.6244 0.1250 0.2500  4 Cd 2.58-2.59, 2 B 2.81, 2 Ru 2.82
Cd2 0.1256 0.6250 0.2500  4 Cd 2.58-2.59, 2 B 2.81, 2 Ru 2.82
Cd3 0.3750 0.3756 0.7500  4 Cd 2.58-2.59, 2 B 2.81, 2 Ru 2.82
Cd4 0.8750 0.8744 0.7500  4 Cd 2.58-2.59, 2 B 2.81, 2 Ru 2.82

Calculated values
* space-group type: I-42d (122)
* E_form: 1102 meV per atom

***

8.
Crystalline CdBRu2 at its relaxed geometry. Source: Alexandria via LeMat-Bulk, functional PBE.

abc: 4.6033 4.6033 7.4879
angles: 72.10 72.10 90.00
With the nearest neighbours (Å) after each atom.
Positions (direct):
Ru1 0.4716 0.1250 0.2500  2 B 2.09
Ru2 0.2784 0.6250 0.2500  2 B 2.09
Ru3 0.3750 0.5284 0.7500  2 B 2.09
Ru4 0.8750 0.7216 0.7500  2 B 2.09
B1 0.5000 0.5000 0.0000  4 Ru 2.09
B2 0.2500 0.7500 0.5000  4 Ru 2.09
Cd1 0.0000 0.0000 0.0000  4 Ru 2.76
Cd2 0.7500 0.2500 0.5000  4 Ru 2.76

Calculated values
* space-group type: I-42d (122)
* E_form: 845 meV per atom
* excess energy over the best structure of this formula in the dataset: 18 meV/atom

***

9.
Crystalline CdBRu3 at its relaxed geometry. Source: Alexandria via LeMat-Bulk, functional PBE.

abc: 4.8795 4.8795 4.8795
angles: 90.00 90.00 90.00
With the nearest neighbours (Å) after each atom.
Positions (direct):
Ru1 0.0000 0.5000 0.0000  2 Cd 2.44
Ru2 0.0000 0.0000 0.5000  2 Cd 2.44
Ru3 0.5000 0.0000 0.0000  2 Cd 2.44
B1 0.5000 0.5000 0.5000  12 Ru 3.45
Cd1 0.0000 0.0000 0.0000  6 Ru 2.44

Calculated values
* space-group type: Pm-3m (221)
* E_form: 3128 meV per atom
* excess energy over the best structure of this formula in the dataset: 2919 meV/atom

***

10.
Crystalline Cd2BRu2 at its relaxed geometry. Source: Alexandria via LeMat-Bulk, functional PBE.

abc: 3.4532 3.4532 7.9584
angles: 77.47 77.47 90.00
With the nearest neighbours (Å) after each atom.
Positions (direct):
Ru1 0.7500 0.2500 0.5000  4 Ru 2.44
Ru2 0.2500 0.7500 0.5000  4 Ru 2.44
B1 0.0000 0.0000 0.0000  8 Cd 2.82
Cd1 0.4069 0.4069 0.1862  4 B 2.82, 1 Cd 2.82, 4 Ru 2.94
Cd2 0.5931 0.5931 0.8138  4 B 2.82, 1 Cd 2.82, 4 Ru 2.94

Calculated values
* space-group type: I4/mmm (139)
* E_form: 1155 meV per atom
* excess energy over the best structure of this formula in the dataset: 1037 meV/atom

***

11.
Crystalline Cd2BRu2 at its relaxed geometry. Source: Alexandria via LeMat-Bulk, functional PBE.

abc: 6.0441 6.0441 4.3734
angles: 90.00 90.00 90.00
With the nearest neighbours (Å) after each atom.
Positions (direct):
Ru1 0.1556 0.6556 0.5000  1 Ru 2.66, 6 Cd 2.71-2.89
Ru2 0.6556 0.8444 0.5000  1 Ru 2.66, 6 Cd 2.71-2.89
Ru3 0.8444 0.3444 0.5000  1 Ru 2.66, 6 Cd 2.71-2.89
Ru4 0.3444 0.1556 0.5000  1 Ru 2.66, 6 Cd 2.71-2.89
B1 0.0000 0.0000 0.0000  4 Cd 2.28
B2 0.5000 0.5000 0.0000  4 Cd 2.28
Cd1 0.3422 0.8422 0.0000  2 B 2.28
Cd2 0.8422 0.6578 0.0000  2 B 2.28
Cd3 0.6578 0.1578 0.0000  2 B 2.28
Cd4 0.1578 0.3422 0.0000  2 B 2.28

Calculated values
* space-group type: P4/mbm (127)
* E_form: 1202 meV per atom
* excess energy over the best structure of this formula in the dataset: 1084 meV/atom

***

12.
Crystalline CdBRu3 at its relaxed geometry. Source: Alexandria via LeMat-Bulk, functional PBE.

abc: 4.1422 4.1422 4.1422
angles: 90.00 90.00 90.00
With the nearest neighbours (Å) after each atom.
Positions (direct):
Ru1 0.0000 0.5000 0.0000  2 B 2.07
Ru2 0.0000 0.0000 0.5000  2 B 2.07
Ru3 0.5000 0.0000 0.0000  2 B 2.07
B1 0.0000 0.0000 0.0000  6 Ru 2.07
Cd1 0.5000 0.5000 0.5000  12 Ru 2.93

Calculated values
* space-group type: Pm-3m (221)
* E_form: 209 meV per atom
* excess energy over the best structure of this formula in the dataset: 0 meV/atom